Record 1
DFT (GGA-PBEsol) results for an optimized crystal structure of AlOs2Se.

The structure in CIF format:
```
data_AlOs2Se
_chemical_formula_sum 'Al1 Os2 Se1'
_cell_length_a 2.8594
_cell_length_b 4.1502
_cell_length_c 5.3022
_cell_angle_alpha 90.00
_cell_angle_beta 102.42
_cell_angle_gamma 90.00
_space_group_name_H-M_alt 'P 1 2/m 1'
_space_group_IT_number 10
loop_
_space_group_symop_operation_xyz
'x,y,z'
'-x,-y,-z'
'-x,y,-z'
'x,-y,z'
loop_
_atom_site_label
_atom_site_type_symbol
_atom_site_fract_x
_atom_site_fract_y
_atom_site_fract_z
Al1 Al 0.0000 0.0000 0.0000
Os1 Os 0.3799 0.5000 0.2213
Se1 Se 0.5000 0.0000 0.5000
```

Crystal system ... monoclinic
VASP energy ... -7.67 eV per atom
Excess energy over the best structure of this formula in the dataset ... 218 meV per atom
Total moment ... 0.00 μB/atom



Record 2
DFT (GGA-PBEsol) results for an optimized crystal structure of AlOsSe.

The structure in CIF format:
```
data_AlOsSe
_chemical_formula_sum 'Al4 Os4 Se4'
_cell_length_a 2.9794
_cell_length_b 4.8756
_cell_length_c 13.0392
_cell_angle_alpha 90.00
_cell_angle_beta 90.00
_cell_angle_gamma 90.00
_space_group_name_H-M_alt 'F m m 2'
_space_group_IT_number 42
_space_group_name_Hall 'F 2 -2'
loop_
_atom_site_label
_atom_site_type_symbol
_atom_site_fract_x
_atom_site_fract_y
_atom_site_fract_z
Al1 Al 0.0000 0.0000 0.0000
Os1 Os 0.0000 0.0000 0.6518
Se1 Se 0.0000 0.0000 0.3173
```

Crystal system ... orthorhombic
VASP energy ... -6.30 eV per atom
Excess energy over the best structure of this formula in the dataset ... 316 meV per atom
Total moment ... 0.00 μB/atom



Record 3
DFT (GGA-PBEsol) results for an optimized crystal structure of AlOsSe2.

The structure in CIF format:
```
data_AlOsSe2
_chemical_formula_sum 'Al4 Os4 Se8'
_cell_length_a 6.3631
_cell_length_b 6.3631
_cell_length_c 6.3631
_cell_angle_alpha 90.00
_cell_angle_beta 90.00
_cell_angle_gamma 90.00
_space_group_name_H-M_alt 'F -4 3 m'
_space_group_IT_number 216
_space_group_name_Hall 'F -4 2 3'
loop_
_atom_site_label
_atom_site_type_symbol
_atom_site_fract_x
_atom_site_fract_y
_atom_site_fract_z
Al1 Al 0.0000 0.0000 0.0000
Os1 Os 0.2500 0.2500 0.7500
Se1 Se 0.0000 0.0000 0.5000
Se2 Se 0.2500 0.2500 0.2500
```

Crystal system ... cubic
VASP energy ... -5.40 eV per atom
Total moment ... 0.00 μB/atom



Record 4
DFT (GGA-PBEsol) results for an optimized crystal structure of TiAl2OsSe.

The structure in CIF format:
```
data_TiAl2OsSe
_chemical_formula_sum 'Ti1 Al2 Os1 Se1'
_cell_length_a 4.9188
_cell_length_b 4.9188
_cell_length_c 4.4631
_cell_angle_alpha 90.00
_cell_angle_beta 90.00
_cell_angle_gamma 90.00
_space_group_name_H-M_alt 'P 4/m m m'
_space_group_IT_number 123
_space_group_name_Hall '-P 4 2'
loop_
_atom_site_label
_atom_site_type_symbol
_atom_site_fract_x
_atom_site_fract_y
_atom_site_fract_z
Ti1 Ti 0.0000 0.0000 0.0000
Al1 Al 0.0000 0.5000 0.0000
Os1 Os 0.0000 0.0000 0.5000
Se1 Se 0.5000 0.5000 0.5000
```

Crystal system ... tetragonal
VASP energy ... -5.35 eV per atom
Total moment ... 0.00 μB/atom



Record 5
DFT (GGA-PBEsol) results for an optimized crystal structure of Al2SiOs.

The structure in CIF format:
```
data_Al2SiOs
_chemical_formula_sum 'Al2 Si1 Os1'
_cell_length_a 3.1891
_cell_length_b 3.1891
_cell_length_c 5.3512
_cell_angle_alpha 90.00
_cell_angle_beta 90.00
_cell_angle_gamma 90.00
_space_group_name_H-M_alt 'P 4/m m m'
_space_group_IT_number 123
_space_group_name_Hall '-P 4 2'
loop_
_atom_site_label
_atom_site_type_symbol
_atom_site_fract_x
_atom_site_fract_y
_atom_site_fract_z
Al1 Al 0.0000 0.0000 0.2483
Si1 Si 0.5000 0.5000 0.0000
Os1 Os 0.5000 0.5000 0.5000
```

Crystal system ... tetragonal
VASP energy ... -6.77 eV per atom
Total moment ... 0.00 μB/atom



Record 6
DFT (GGA-PBEsol) results for an optimized crystal structure of AlSiOs2.

The structure in CIF format:
```
data_AlSiOs2
_chemical_formula_sum 'Al2 Si2 Os4'
_cell_length_a 5.6062
_cell_length_b 7.9429
_cell_length_c 2.8054
_cell_angle_alpha 90.00
_cell_angle_beta 118.03
_cell_angle_gamma 90.00
_space_group_name_H-M_alt 'C 1 2/m 1'
_space_group_IT_number 12
loop_
_space_group_symop_operation_xyz
'x,y,z'
'-x,-y,-z'
'-x,y,-z'
'x,-y,z'
'x+1/2,y+1/2,z'
'-x+1/2,-y+1/2,-z'
'-x+1/2,y+1/2,-z'
'x+1/2,-y+1/2,z'
loop_
_atom_site_label
_atom_site_type_symbol
_atom_site_fract_x
_atom_site_fract_y
_atom_site_fract_z
Al1 Al 0.0000 0.0000 0.0000
Si1 Si 0.0000 0.5000 0.0000
Os1 Os 0.2500 0.2500 0.5000
```

Crystal system ... monoclinic
VASP energy ... -8.60 eV per atom
Total moment ... 0.00 μB/atom



Record 7
DFT (GGA-PBEsol) results for an optimized crystal structure of AlSiOs2.

The structure in CIF format:
```
data_AlSiOs2
_chemical_formula_sum 'Al1 Si1 Os2'
_cell_length_a 2.9510
_cell_length_b 2.9510
_cell_length_c 5.9510
_cell_angle_alpha 90.00
_cell_angle_beta 90.00
_cell_angle_gamma 90.00
_space_group_name_H-M_alt 'P 4/m m m'
_space_group_IT_number 123
_space_group_name_Hall '-P 4 2'
loop_
_atom_site_label
_atom_site_type_symbol
_atom_site_fract_x
_atom_site_fract_y
_atom_site_fract_z
Al1 Al 0.0000 0.0000 0.0000
Si1 Si 0.0000 0.0000 0.5000
Os1 Os 0.5000 0.5000 0.2615
```

Crystal system ... tetragonal
VASP energy ... -9.02 eV per atom
Total moment ... 0.00 μB/atom



Record 8
DFT (GGA-PBEsol) results for an optimized crystal structure of AlSi4Os.

The structure in CIF format:
```
data_AlSi4Os
_chemical_formula_sum 'Al4 Si16 Os4'
_cell_length_a 6.9139
_cell_length_b 6.9139
_cell_length_c 6.9139
_cell_angle_alpha 90.00
_cell_angle_beta 90.00
_cell_angle_gamma 90.00
_space_group_name_H-M_alt 'F -4 3 m'
_space_group_IT_number 216
_space_group_name_Hall 'F -4 2 3'
loop_
_atom_site_label
_atom_site_type_symbol
_atom_site_fract_x
_atom_site_fract_y
_atom_site_fract_z
Al1 Al 0.0000 0.0000 0.0000
Si1 Si 0.1256 0.1256 0.3744
Os1 Os 0.2500 0.2500 0.7500
```

Crystal system ... cubic
VASP energy ... -6.00 eV per atom
Total moment ... 0.00 μB/atom



Record 9
DFT (GGA-PBEsol) results for an optimized crystal structure of AlSiOs2.

The structure in CIF format:
```
data_AlSiOs2
_chemical_formula_sum 'Al2 Si2 Os4'
_cell_length_a 2.9164
_cell_length_b 4.0318
_cell_length_c 9.1417
_cell_angle_alpha 90.00
_cell_angle_beta 90.00
_cell_angle_gamma 90.00
_space_group_name_H-M_alt 'I m m 2'
_space_group_IT_number 44
loop_
_space_group_symop_operation_xyz
'x,y,z'
'-x,-y,z'
'-x,y,z'
'x,-y,z'
'x+1/2,y+1/2,z+1/2'
'-x+1/2,-y+1/2,z+1/2'
'-x+1/2,y+1/2,z+1/2'
'x+1/2,-y+1/2,z+1/2'
loop_
_atom_site_label
_atom_site_type_symbol
_atom_site_fract_x
_atom_site_fract_y
_atom_site_fract_z
Al1 Al 0.0000 0.0000 0.0000
Si1 Si 0.0000 0.5000 0.2425
Os1 Os 0.0000 0.0000 0.5258
Os2 Os 0.0000 0.5000 0.7680
```

Crystal system ... orthorhombic
VASP energy ... -8.78 eV per atom
Total moment ... 0.00 μB/atom



Record 10
DFT (GGA-PBEsol) results for an optimized crystal structure of AlZnSi2Os.

The structure in CIF format:
```
data_AlZnSi2Os
_chemical_formula_sum 'Al1 Zn1 Si2 Os1'
_cell_length_a 4.5492
_cell_length_b 4.5492
_cell_length_c 4.5353
_cell_angle_alpha 90.00
_cell_angle_beta 90.00
_cell_angle_gamma 90.00
_space_group_name_H-M_alt 'P 4/m m m'
_space_group_IT_number 123
_space_group_name_Hall '-P 4 2'
loop_
_atom_site_label
_atom_site_type_symbol
_atom_site_fract_x
_atom_site_fract_y
_atom_site_fract_z
Al1 Al 0.0000 0.0000 0.0000
Zn1 Zn 0.5000 0.5000 0.5000
Si1 Si 0.0000 0.5000 0.0000
Os1 Os 0.0000 0.0000 0.5000
```

Crystal system ... tetragonal
VASP energy ... -4.50 eV per atom
Total moment ... 0.00 μB/atom



Formation energy from raw total energies values (in eV per atom) by entry order: 0.4188; 0.4161; 0.5978; 1.1649; -0.2366; -0.0285; -0.4554; 0.5447; -0.2098; 1.3745.